1.
DFT (PBE) results for a relaxed structure of LaCeZnSn.

Geometry as POSCAR:
```
LaCeZnSn
1.0
0.000 3.818 3.818
3.818 0.000 3.818
3.818 3.818 0.000
La Ce Zn Sn
1 1 1 1
Cartesian
0.000 0.000 0.000
3.818 3.818 3.818
5.726 5.726 5.726
1.909 1.909 1.909
```

Summary:
ΔH_f (0 K): -0.4469 eV/atom
E_tot: -4.481 eV per atom
size of the total moment: 0.99 μB per formula unit

=====

2.
DFT (PBE) results for a relaxed structure of SrTlHgGe.

Geometry as POSCAR:
```
SrTlHgGe
1.0
0.000 3.824 3.824
3.824 0.000 3.824
3.824 3.824 0.000
Sr Tl Hg Ge
1 1 1 1
Cartesian
0.000 0.000 0.000
3.824 3.824 3.824
5.737 5.737 5.737
1.912 1.912 1.912
```

Summary:
ΔH_f (0 K): -0.2266 eV/atom
E_tot: -2.468 eV per atom
size of the total moment: 0.00 μB per formula unit

=====

3.
DFT (PBE) results for a relaxed structure of MgCuIr4.

Geometry as POSCAR:
```
MgCuIr4
1.0
0.000 3.658 3.658
3.658 0.000 3.658
3.658 3.658 0.000
Mg Cu Ir
1 1 4
Cartesian
0.000 0.000 0.000
5.488 5.488 5.488
2.744 2.744 2.744
4.573 4.573 2.744
4.573 2.744 4.573
2.744 4.573 4.573
```

Summary:
ΔH_f (0 K): 0.2080 eV/atom
E_tot: -6.648 eV per atom
size of the total moment: 0.00 μB per formula unit